(1)
Computed, not measured: a relaxed MoPt2W crystal at the GGA-PBE level of DFT.

Structure (POSCAR):
```
MoPt2W
1.0
3.872 0.000 0.000
0.000 3.872 0.000
0.000 0.000 8.282
Mo Pt W
2 4 2
Direct
0.000 0.000 0.000
0.500 0.500 0.500
0.000 0.500 0.250
0.000 0.500 0.750
0.500 0.000 0.250
0.500 0.000 0.750
0.000 0.000 0.500
0.500 0.500 0.000
```

Properties
Fermi-level density of states = 7.588 states/eV per cell
final energy = -9.199 eV per atom
symmetry = I4/mmm
calculated formation energy = -0.233 eV per atom
theoretical density = 17.9 Mg/m³
polymorph energy (0 for the lowest one) = 66 meV/atom

(2)
Computed, not measured: a relaxed CsRe2Te crystal at the GGA-PBE level of DFT.

Structure (POSCAR):
```
CsRe2Te
1.0
4.252 0.000 0.000
-2.126 3.683 0.000
0.000 0.000 23.213
Cs Re Te
3 6 3
Direct
0.000 0.000 0.000
0.333 0.667 0.667
0.667 0.333 0.333
0.000 0.000 0.457
0.000 0.000 0.809
0.333 0.667 0.123
0.333 0.667 0.476
0.667 0.333 0.142
0.667 0.333 0.790
0.000 0.000 0.201
0.333 0.667 0.868
0.667 0.333 0.534
```

Properties
Fermi-level density of states = 4.567 states/eV per cell
final energy = -6.727 eV per atom
symmetry = R3m
raw formation energy = 0.496 eV/atom
theoretical density = 8.7 Mg/m³

(3)
Computed, not measured: a relaxed LiPrDy2S4 crystal at the GGA-PBE level of DFT.

Structure (POSCAR):
```
LiPrDy2S4
1.0
1.940 -6.552 0.000
1.940 6.552 0.000
0.000 0.000 13.501
Li Pr Dy S
2 2 4 8
Direct
0.144 0.856 0.750
0.856 0.144 0.250
0.126 0.874 0.250
0.874 0.126 0.750
0.367 0.633 0.058
0.367 0.633 0.442
0.633 0.367 0.558
0.633 0.367 0.942
0.000 0.000 0.000
0.000 0.000 0.500
0.271 0.729 0.623
0.271 0.729 0.877
0.459 0.541 0.250
0.541 0.459 0.750
0.729 0.271 0.123
0.729 0.271 0.377
```

Properties
Fermi-level density of states = 8.033 states/eV per cell
final energy = -5.883 eV per atom
symmetry = Cmcm
raw formation energy = -1.832 eV/atom
theoretical density = 5.8 Mg/m³

(4)
Computed, not measured: a relaxed TaC5 crystal at the GGA-PBE level of DFT.

Structure (POSCAR):
```
TaC5
1.0
0.000 2.922 2.922
2.922 0.000 2.922
2.922 2.922 0.000
Ta C
1 5
Direct
0.000 0.000 0.000
0.405 0.405 0.405
0.405 0.405 0.784
0.405 0.784 0.405
0.750 0.750 0.750
0.784 0.405 0.405
```

Properties
Fermi-level density of states = 2.644 states/eV per cell
final energy = -7.329 eV per atom
symmetry = F-43m
calculated formation energy = 2.333 eV per atom
theoretical density = 8.0 Mg/m³
polymorph energy (0 for the lowest one) = 1386 meV/atom

> final energy of number 1 (MoPt2W)?

-9.199 eV per atom